Record 1
Below is a geometry-optimized NdNp2Tl2Se6 structure, with properties calculated at the PBE level.

Structure (CIF):
```
data_NdNp2Tl2Se6
_symmetry_space_group_name_H-M 'C 1 2/m 1'
_symmetry_Int_Tables_number 12
_cell_length_a 7.288
_cell_length_b 12.678
_cell_length_c 8.126
_cell_angle_alpha 90.00
_cell_angle_beta 107.00
_cell_angle_gamma 90.00
loop_
_symmetry_equiv_pos_as_xyz
'x,y,z'
'-x,-y,-z'
'-x,y,-z'
'x,-y,z'
'x+1/2,y+1/2,z'
'-x+1/2,-y+1/2,-z'
'-x+1/2,y+1/2,-z'
'x+1/2,-y+1/2,z'
loop_
_atom_site_label
_atom_site_type_symbol
_atom_site_fract_x
_atom_site_fract_y
_atom_site_fract_z
Nd1 Nd 0.000 0.000 0.000
Np1 Np 0.000 0.334 0.000
Tl1 Tl 0.000 0.164 0.500
Se1 Se 0.222 0.500 0.203
Se2 Se 0.237 0.173 0.203
```

## Properties
For the volume, the calculation gives 359.0 Å³/f.u. The formation energy from raw total energies comes out at -1.13 eV/atom. As for the total energy: -6.2490 eV/atom. The crystal system is monoclinic.

---

Record 2
Below is a geometry-optimized NdNpTl2Se4 structure, with properties calculated at the PBE level.

Structure (CIF):
```
data_NdNpTl2Se4
_symmetry_space_group_name_H-M 'P 1 2/m 1'
_symmetry_Int_Tables_number 10
_cell_length_a 7.427
_cell_length_b 4.279
_cell_length_c 8.128
_cell_angle_alpha 90.00
_cell_angle_beta 107.71
_cell_angle_gamma 90.00
loop_
_symmetry_equiv_pos_as_xyz
'x,y,z'
'-x,-y,-z'
'-x,y,-z'
'x,-y,z'
loop_
_atom_site_label
_atom_site_type_symbol
_atom_site_fract_x
_atom_site_fract_y
_atom_site_fract_z
Nd1 Nd 0.000 0.000 0.000
Np1 Np 0.500 0.500 0.000
Tl1 Tl 0.000 0.500 0.500
Tl2 Tl 0.500 0.000 0.500
Se1 Se 0.241 0.500 0.210
Se2 Se 0.271 0.000 0.794
```

## Properties
For the volume, the calculation gives 246.1 Å³/f.u. The formation energy from raw total energies comes out at -1.13 eV/atom. As for the total energy: -5.6788 eV/atom. The crystal system is monoclinic.